SbHIO2: optimized geometry, PBE.

Lattice parameters (Å, degrees): 4.403 4.403 3.562 90.00 90.00 90.00
Space group P4/mmm (No. 123)
Asymmetric unit:
Sb 0.000 0.000 0.000 x1
H 0.500 0.500 0.500 x1
I 0.500 0.500 0.000 x1
O 0.000 0.500 0.500 x2

Summary:
total magnetic moment = 0.00 μB per formula unit
ΔE to the lowest computed polymorph = 1454 meV/atom
total DFT energy (no corrections) = -3.179 eV/atom



RbVAu: optimized geometry, PBE.

Lattice parameters (Å, degrees): 18.441 4.865 4.177 90.00 101.22 90.00
Space group Cm (No. 8)
Asymmetric unit:
Rb 0.000 0.000 0.000 x2
Rb 0.164 0.500 0.645 x2
V 0.279 0.000 0.221 x2
V 0.328 0.000 0.869 x2
Au 0.332 0.500 0.319 x2
Au 0.431 0.000 0.447 x2

Summary:
total magnetic moment = 0.16 μB per formula unit
ΔE to the lowest computed polymorph = 134 meV/atom
total DFT energy (no corrections) = -4.052 eV/atom
formation enthalpy at 0 K = 0.40 eV per atom



POs2Pt: optimized geometry, PBE.

Lattice parameters (Å, degrees): 2.798 4.913 8.549 90.00 90.00 90.00
Space group Cmmm (No. 65)
Asymmetric unit:
P 0.000 0.000 0.000 x2
Os 0.000 0.500 0.215 x4
Pt 0.000 0.000 0.500 x2

Summary:
total magnetic moment = 0.00 μB per formula unit
total DFT energy (no corrections) = -8.059 eV/atom
formation enthalpy at 0 K = 0.42 eV per atom